Density functional theory data (GGA+U) for a relaxed V2InF crystal.

Calculated values
raw total energy	-4.78	eV per atom
polymorph energy (0 for the lowest one)	0.000	eV/f.u.
calculated density	4.26	g/cm3

```
data_V2InF
_cell_length_a 5.389
_cell_length_b 5.389
_cell_length_c 12.655
_cell_angle_alpha 90.00
_cell_angle_beta 90.00
_cell_angle_gamma 90.00
_symmetry_space_group_name_H-M 'I -4 2 d'
_symmetry_Int_Tables_number 122
_symmetry_space_group_name_Hall 'I -4 2bw'
loop_
_atom_site_label
_atom_site_type_symbol
_atom_site_fract_x
_atom_site_fract_y
_atom_site_fract_z
V1 V 0.040 0.750 0.125
In1 In 0.000 0.000 0.500
F1 F 0.000 0.000 0.000
```